Record 1
First-principles (PBE) data for crystalline Na5NpO5 at its relaxed geometry, as listed in the Alexandria database.

The structure in POSCAR format:
```
Na5NpO5
1.0
5.538 -2.304 0.000
5.538 2.304 0.000
-2.118 0.000 6.276
Na Np O
5 1 5
Cartesian
0.000 0.000 0.000
2.966 0.000 1.068
2.184 0.000 4.032
6.775 0.000 2.244
5.993 0.000 5.208
-1.059 0.000 3.138
0.798 0.000 2.124
-0.051 0.000 5.033
4.479 0.000 3.138
9.010 0.000 1.244
8.161 0.000 4.152
```

As for the total moment: 2.001 Bohr magnetons per cell. As for the space group: C2/m (12). The uncorrected formation energy is -2.014 eV/atom. The value obtained for the electronic total energy is -6.04 eV/atom.

Record 2
First-principles (PBE) data for crystalline NaNpO4 at its relaxed geometry, as listed in the Alexandria database.

The structure in POSCAR format:
```
NaNpO4
1.0
3.652 -5.199 0.000
3.652 5.199 0.000
-3.650 0.000 4.263
Na Np O
2 2 8
Cartesian
0.915 3.897 3.197
2.740 -3.897 1.066
2.740 1.295 1.066
0.915 -1.295 3.197
1.343 2.594 1.204
-0.483 0.005 3.062
1.342 -0.005 0.931
4.136 2.594 0.928
-0.482 -2.594 3.335
2.312 0.005 3.332
4.137 -0.005 1.201
2.311 -2.594 3.059
```

As for the total moment: 0.000 Bohr magnetons per cell. As for the space group: C2/c (15). The uncorrected formation energy is -2.357 eV/atom. The value obtained for the electronic total energy is -8.04 eV/atom. The calculation puts the energy above the most stable polymorph in this dataset at 47 meV per atom.